Here is BaCo2P2O7 after structural relaxation from Alexandria via LeMat-Bulk. Energies are from PBE with a Hubbard U.

POSCAR file:
```
BaCo2P2O7
1.0
-1.719 3.017 4.303
0.427 -2.011 5.133
6.471 3.383 3.765
Co O Ba P
2 7 1 2
direct
0.743 0.743 0.771
0.257 0.257 0.229
0.000 0.000 0.000
0.070 0.835 0.730
0.365 0.070 0.730
0.835 0.365 0.730
0.635 0.165 0.270
0.930 0.635 0.270
0.165 0.930 0.270
0.500 0.500 0.500
0.070 0.070 0.789
0.930 0.930 0.211
```

Summary:
**Magnetization**: 0.33 μB/atom
**VASP energy**: -80.19 eV per cell